Record 1
! Na4ThNp3Te8, relaxed, DFT PBE; values from VASP
&SYSTEM
  ibrav = 0, nat = 16, ntyp = 4
/
ATOMIC_SPECIES
Te 127.60 Te.upf
Na 22.99 Na.upf
Np 237.00 Np.upf
Th 232.04 Th.upf
CELL_PARAMETERS angstrom
-6.0423 -2.0221 6.3198
2.3961 -8.8384 -0.5371
6.3082 6.1702 1.6335
ATOMIC_POSITIONS angstrom
Te 2.3154 0.2834 2.3044
Te -0.7254 -0.6997 5.4545
Te 3.5207 -1.9133 5.9448
Te -0.8586 -2.7770 1.4714
Te 3.3875 -3.9906 1.9618
Te -3.8845 -3.7896 4.6364
Te 6.5466 -0.9007 2.7799
Te 0.3467 -4.9737 5.1119
Na 0.1330 2.0740 3.9767
Na 0.0000 0.0000 0.0000
Na -3.0211 -1.0111 3.1599
Na 3.1541 3.0851 0.8168
Np 1.3310 -2.3451 3.7081
Np 4.3522 -1.3341 0.5482
Np -1.8231 -5.4302 2.8914
Th 1.1980 -4.4192 -0.2685
! calculated density = 6.5 g/cm3
! DFT total energy = -91.0 eV/cell
! ΔE_f (raw) = -896 meV/atom

***

Record 2
! CuIrAu2O8, relaxed, DFT PBE; values from VASP
&SYSTEM
  ibrav = 0, nat = 12, ntyp = 4
/
ATOMIC_SPECIES
O 16.00 O.upf
Au 196.97 Au.upf
Ir 192.22 Ir.upf
Cu 63.55 Cu.upf
CELL_PARAMETERS angstrom
-1.4698 -1.7802 -5.2505
-3.1442 -3.3939 3.3901
-1.0164 5.5812 0.8454
ATOMIC_POSITIONS angstrom
O -0.8356 1.2133 -1.4474
O -3.9041 1.0861 0.3301
O -1.6991 2.5333 -2.9773
O -1.4749 3.7599 -0.4674
O -2.0457 -0.9869 0.3030
O -3.8361 -3.0450 -2.1959
O -2.8034 -1.0392 -3.8585
O -4.2483 -0.2796 -2.3876
Au -2.3070 -2.5871 -0.9302
Au -2.3966 0.6069 -2.6677
Ir -3.2338 -0.1999 1.6526
Cu 0.0000 0.0000 0.0000
! calculated density = 9.0 g/cm3
! DFT total energy = -57.4 eV/cell
! ΔE_f (raw) = 145 meV/atom

***

Record 3
! YZn2Cd2, relaxed, DFT PBE; values from VASP
&SYSTEM
  ibrav = 0, nat = 10, ntyp = 3
/
ATOMIC_SPECIES
Zn 65.41 Zn.upf
Y 88.91 Y.upf
Cd 112.41 Cd.upf
CELL_PARAMETERS angstrom
7.8128 0.0000 0.0000
0.0000 7.8128 0.0000
0.0000 0.0000 3.5308
ATOMIC_POSITIONS angstrom
Zn 0.9102 2.9961 0.0000
Zn 2.9961 6.9025 0.0000
Zn 6.9025 4.8166 0.0000
Zn 4.8166 0.9102 0.0000
Y 0.0000 0.0000 0.0000
Y 3.9064 3.9064 0.0000
Cd 2.4720 1.4344 1.7654
Cd 1.4344 5.3408 1.7654
Cd 5.3408 6.3784 1.7654
Cd 6.3784 2.4720 1.7654
! calculated density = 6.9 g/cm3
! DFT total energy = -22.6 eV/cell
! E_form = -0.5 eV per formula unit
! relative energy among the computed polymorphs = 3.27 kcal/mol of atoms

***

Question: calculated density of number 2 (CuIrAu2O8)?
Answer: 9.0 g/cm3